[1]
An optimized crystal structure of NiC. Source: Alexandria, functional PBE.

Geometry as POSCAR:
```
NiC
1.0
0.000 4.132 4.773
2.620 0.000 4.773
2.620 4.132 0.000
Ni C
4 4
Direct
0.006 0.006 0.744 Ni
0.256 0.256 0.994 Ni
0.744 0.744 0.006 Ni
0.994 0.994 0.256 Ni
0.051 0.699 0.051 C
0.301 0.949 0.301 C
0.699 0.051 0.699 C
0.949 0.301 0.949 C
```

Magnetic moment   0.00 μB per formula unit
E_form   0.9361 eV/atom
Crystal system   orthorhombic


[2]
An optimized crystal structure of Zr5Tl2Tc. Source: Alexandria, functional PBE.

Geometry as POSCAR:
```
Zr5Tl2Tc
1.0
-2.536 2.536 6.691
2.536 -2.536 6.691
2.536 2.536 -6.691
Zr Tl Tc
5 2 1
Direct
0.000 0.000 0.000 Zr
0.115 0.615 0.500 Zr
0.385 0.885 0.500 Zr
0.615 0.115 0.500 Zr
0.885 0.385 0.500 Zr
0.251 0.251 0.000 Tl
0.749 0.749 0.000 Tl
0.500 0.500 0.000 Tc
```

Magnetic moment   0.00 μB per formula unit
E_form   -0.1014 eV/atom
Crystal system   tetragonal


[3]
An optimized crystal structure of BeMoPd. Source: Alexandria, functional PBE.

Geometry as POSCAR:
```
BeMoPd
1.0
4.310 0.000 0.000
-2.155 3.733 0.000
0.000 0.000 5.349
Be Mo Pd
2 2 2
Direct
0.000 0.000 0.000 Be
0.000 0.000 0.500 Be
0.333 0.667 0.250 Mo
0.667 0.333 0.750 Mo
0.333 0.667 0.750 Pd
0.667 0.333 0.250 Pd
```

Excess energy over the best structure of this formula in the dataset   14.59 kcal/mol of atoms
Magnetic moment   0.00 μB per formula unit
E_form   0.3929 eV/atom
Crystal system   hexagonal


[4]
An optimized crystal structure of Tm5PuMg4. Source: Alexandria, functional PBE.

Geometry as POSCAR:
```
Tm5PuMg4
1.0
3.605 0.000 0.000
0.000 3.605 0.000
0.000 0.000 20.754
Tm Pu Mg
5 1 4
Direct
0.000 0.000 0.000 Tm
0.000 0.000 0.193 Tm
0.000 0.000 0.389 Tm
0.000 0.000 0.611 Tm
0.000 0.000 0.807 Tm
0.500 0.500 0.500 Pu
0.500 0.500 0.096 Mg
0.500 0.500 0.290 Mg
0.500 0.500 0.710 Mg
0.500 0.500 0.904 Mg
```

Magnetic moment   6.64 μB per formula unit
E_form   -0.0010 eV/atom
Crystal system   tetragonal


[5]
An optimized crystal structure of Li2DyY. Source: Alexandria, functional PBE.

Geometry as POSCAR:
```
Li2DyY
1.0
0.000 3.715 3.715
3.715 0.000 3.715
3.715 3.715 0.000
Li Dy Y
2 1 1
Direct
0.250 0.250 0.250 Li
0.750 0.750 0.750 Li
0.000 0.000 0.000 Dy
0.500 0.500 0.500 Y
```

Excess energy over the best structure of this formula in the dataset   0.06 kcal/mol of atoms
Magnetic moment   0.00 μB per formula unit
E_form   0.1448 eV/atom
Crystal system   cubic


[6]
An optimized crystal structure of LaMgPb. Source: Alexandria, functional PBE.

Geometry as POSCAR:
```
LaMgPb
1.0
-1.700 2.132 6.056
1.700 -2.132 6.056
1.700 2.132 -6.056
La Mg Pb
1 1 1
Direct
0.000 0.000 0.000 La
0.686 0.686 0.000 Mg
0.314 0.314 0.000 Pb
```

Magnetic moment   0.00 μB per formula unit
E_form   -0.2673 eV/atom
Crystal system   orthorhombic